{
  "formula": "LiCo3Mo",
  "functional": "GGA-PBE",
  "state": "optimized geometry",
  "lattice_angstrom": [[4.4524, 0.0000, 0.0000], [0.0000, 4.4524, 0.0000], [0.0000, 0.0000, 4.4524]],
  "species": ["Mo", "Co", "Co", "Co", "Li"],
  "fractional_positions": [[0.0000, 0.0000, 0.0000], [0.0000, 0.5000, 0.0000], [0.0000, 0.0000, 0.5000], [0.5000, 0.0000, 0.0000], [0.5000, 0.5000, 0.5000]],
  "de_polymorph_ev_per_atom": 0.3994,
  "formation_enthalpy_0k_ev_per_atom": 1.232,
  "dos_at_fermi_per_ev_cell": 5.37,
  "total_energy_ev_per_atom": -5.58,
  "sg": "Pm-3m, No. 221"
}